Material: P2PbS2
Method: DFT, GGA-PBEsol
State: optimized geometry

Output
* volume: 25.8 Å³/atom
* offset from the most stable computed form: 0 meV/atom
* total DFT energy (no corrections): -3.442 eV per atom
* uncorrected formation energy: 1428 meV/atom

abc: 4.9900 4.9900 5.1847
angles: 90.00 90.00 90.00
Last column: nearest neighbours and their distance in Å.
Positions (direct):
P  0.0000  0.0000  0.0000  2 Pb 2.59
P  0.5000  0.5000  0.0000  4 P 3.53, 8 S 3.60
Pb  0.0000  0.0000  0.5000  4 S 2.49, 2 P 2.59
S  0.0000  0.5000  0.5000  2 Pb 2.49
S  0.5000  0.0000  0.5000  2 Pb 2.49